(1)
Compound: TiCrTe2Os
Source: the Alexandria database
Functional: PBE
Structure: relaxed

The calculation puts the uncorrected formation energy at 0.914 eV per atom.

a b c (Å): 5.3329 4.6315 5.3329
angles (deg): 90.00 90.00 90.00
Atoms (fractional coordinates):
Cr (0.5000, 0.5000, 0.5000)
Te (0.0000, 0.0000, 0.5000)
Te (0.5000, 0.0000, 0.0000)
Os (0.0000, 0.0000, 0.0000)
Ti (0.0000, 0.5000, 0.0000)


(2)
Compound: ThCrOs
Source: the Alexandria database
Functional: PBE
Structure: relaxed

The final energy comes out at -112.4 eV per cell.

a b c (Å): 4.0949 7.0983 8.8192
angles (deg): 90.00 90.00 90.00
Atoms (fractional coordinates):
Os (0.7500, 0.4163, 0.2390)
Os (0.7500, 0.0837, 0.7390)
Os (0.2500, 0.9163, 0.2610)
Os (0.2500, 0.5837, 0.7610)
Cr (0.2500, 0.9172, 0.7542)
Cr (0.2500, 0.5828, 0.2542)
Cr (0.7500, 0.4172, 0.7458)
Cr (0.7500, 0.0828, 0.2458)
Th (0.2500, 0.2494, 0.9975)
Th (0.2500, 0.2506, 0.4975)
Th (0.7500, 0.7494, 0.5025)
Th (0.7500, 0.7506, 0.0025)


(3)
Compound: TiCrOs3
Source: the Alexandria database
Functional: PBE
Structure: relaxed

The final energy comes out at -44.9 eV per cell.

a b c (Å): 4.4198 4.4198 4.4198
angles (deg): 90.00 90.00 90.00
Atoms (fractional coordinates):
Cr (0.0000, 0.0000, 0.0000)
Os (0.0000, 0.5000, 0.0000)
Os (0.0000, 0.0000, 0.5000)
Os (0.5000, 0.0000, 0.0000)
Ti (0.5000, 0.5000, 0.5000)


(4)
Compound: Ti2Cr2Os
Source: the Alexandria database
Functional: PBE
Structure: relaxed

The final energy comes out at -91.9 eV per cell.

a b c (Å): 6.0689 6.0689 4.0646
angles (deg): 90.00 90.00 90.00
Atoms (fractional coordinates):
Cr (0.3717, 0.8717, 0.0000)
Cr (0.8717, 0.6283, 0.0000)
Cr (0.6283, 0.1283, 0.0000)
Cr (0.1283, 0.3717, 0.0000)
Os (0.0000, 0.0000, 0.0000)
Os (0.5000, 0.5000, 0.0000)
Ti (0.1782, 0.6782, 0.5000)
Ti (0.6782, 0.8218, 0.5000)
Ti (0.8218, 0.3218, 0.5000)
Ti (0.3218, 0.1782, 0.5000)


| no. | density of states at the Fermi level (states/eV per cell) | total magnetization (μB/cell) |
| --- | --- | --- |
| 1 | 6.06 | 3.3 |
| 2 | 15.49 | 0.0 |
| 3 | 5.37 | 0.0 |
| 4 | 7.83 | 0.0 |